Entry 1:
Here is a relaxed LiTm4MgS8 crystal from Alexandria via LeMat-Bulk. Energies are from PBE-GGA.

crystal system = trigonal
formation energy without anion corrections = -1.71 eV/atom
symmetry = No. 160
E = -5.596 eV per atom

a b c (Å): 7.9144 7.9144 7.7318
angles (deg): 59.22 59.22 60.00
Atoms (fractional coordinates):
Li  0.3777  0.3777  0.8670
Tm  0.6173  0.6173  0.1480
Tm  0.0027  0.4894  0.5053
Tm  0.4894  0.0027  0.5053
Tm  0.0027  0.0027  0.5053
Mg  0.0069  0.0069  0.9794
S  0.2428  0.7686  0.7459
S  0.7686  0.2428  0.7459
S  0.2428  0.2428  0.7459
S  0.2442  0.2442  0.2673
S  0.7653  0.2193  0.2501
S  0.2193  0.7653  0.2501
S  0.7653  0.7653  0.2501
S  0.7552  0.7552  0.7343

Entry 2:
Here is a relaxed LiMg2US4 crystal from Alexandria via LeMat-Bulk. Energies are from PBE-GGA.

crystal system = monoclinic
formation energy without anion corrections = -1.34 eV/atom
symmetry = No. 10
E = -5.449 eV per atom

a b c (Å): 3.7439 6.5549 6.6019
angles (deg): 107.94 90.00 90.00
Each line ends with the local moment (μB).
Atoms (fractional coordinates):
Li  0.5000  0.5000  0.0000  0.00
Mg  0.5000  0.0000  0.5000  0.00
Mg  0.0000  0.5000  0.5000  0.00
U  0.0000  0.0000  0.0000  2.67
S  0.5000  0.2656  0.2638  -0.03
S  0.5000  0.7344  0.7362  -0.03
S  0.0000  0.2448  0.7339  -0.03
S  0.0000  0.7552  0.2661  -0.03

Entry 3:
Here is a relaxed Li2Mg2US6 crystal from Alexandria via LeMat-Bulk. Energies are from PBE-GGA.

crystal system = monoclinic
formation energy without anion corrections = -1.30 eV/atom
symmetry = No. 12
E = -5.219 eV per atom

a b c (Å): 6.4049 6.4049 6.5250
angles (deg): 99.50 99.50 119.34
Atoms (fractional coordinates):
Li  0.8345  0.1655  0.0000
Li  0.1655  0.8345  0.0000
Mg  0.3322  0.6678  0.5000
Mg  0.6678  0.3322  0.5000
U  0.0000  0.0000  0.5000
S  0.7531  0.7531  0.7356
S  0.0743  0.4047  0.7402
S  0.2469  0.2469  0.2644
S  0.4047  0.0743  0.7402
S  0.9257  0.5953  0.2598
S  0.5953  0.9257  0.2598

Entry 4:
Here is a relaxed Li3MgU3S8 crystal from Alexandria via LeMat-Bulk. Energies are from PBE-GGA.

crystal system = trigonal
formation energy without anion corrections = -1.37 eV/atom
symmetry = No. 166
E = -6.313 eV per atom

a b c (Å): 7.7044 7.7044 7.6302
angles (deg): 120.33 90.00 120.00
Each line ends with the local moment (μB).
Atoms (fractional coordinates):
Li  0.0000  0.0000  0.0000  0.00
Li  0.0000  0.5000  0.0000  0.00
Li  0.5000  0.5000  0.0000  0.00
Mg  0.0000  0.0000  0.5000  0.00
U  0.5000  0.0000  0.5000  2.25
U  0.5000  0.5000  0.5000  2.25
U  0.0000  0.5000  0.5000  2.25
S  0.2472  0.4945  0.2418  -0.06
S  0.7528  0.5055  0.7582  -0.06
S  0.7566  0.5132  0.2586  -0.06
S  0.2434  0.4868  0.7414  -0.06
S  0.7566  0.0019  0.2586  -0.06
S  0.2434  0.9981  0.7414  -0.06
S  0.2452  0.0019  0.2586  -0.06
S  0.7548  0.9981  0.7414  -0.06

Entry 5:
Here is a relaxed Li3Mg2US6 crystal from Alexandria via LeMat-Bulk. Energies are from PBE-GGA.

crystal system = monoclinic
formation energy without anion corrections = -1.39 eV/atom
symmetry = No. 12
E = -5.143 eV per atom

a b c (Å): 6.4648 6.4648 6.5121
angles (deg): 99.52 99.52 119.99
Each line ends with the local moment (μB).
Atoms (fractional coordinates):
Li  0.1651  0.8349  0.5000  0.00
Li  0.8349  0.1651  0.5000  0.00
Li  0.5000  0.5000  0.5000  0.00
Mg  0.3330  0.6670  0.0000  0.00
Mg  0.6670  0.3330  0.0000  0.00
U  0.0000  0.0000  0.0000  1.20
S  0.9190  0.5862  0.7555  -0.03
S  0.7477  0.7477  0.2422  -0.03
S  0.0810  0.4138  0.2445  -0.03
S  0.5862  0.9190  0.7555  -0.03
S  0.2523  0.2523  0.7578  -0.03
S  0.4138  0.0810  0.2445  -0.03

Entry 6:
Here is a relaxed Li4MgU3S8 crystal from Alexandria via LeMat-Bulk. Energies are from PBE-GGA.

crystal system = trigonal
formation energy without anion corrections = -1.37 eV/atom
symmetry = No. 166
E = -6.130 eV per atom

a b c (Å): 7.6538 7.6405 7.6545
angles (deg): 120.06 120.00 90.00
Each line ends with the local moment (μB).
Atoms (fractional coordinates):
Li  0.5000  0.0000  0.0000  0.00
Li  0.5000  0.0000  0.5000  0.00
Li  0.0000  0.0000  0.0000  0.00
Li  0.0000  0.0000  0.5000  0.00
Mg  0.0000  0.5000  0.0000  0.00
U  0.5000  0.5000  0.0000  2.44
U  0.5000  0.5000  0.5000  2.44
U  0.0000  0.5000  0.5000  2.44
S  0.2466  0.7505  0.0040  -0.05
S  0.2467  0.7505  0.4933  -0.05
S  0.2466  0.2398  0.4931  -0.06
S  0.7573  0.7505  0.0040  -0.05
S  0.2427  0.2495  0.9960  -0.05
S  0.7534  0.7602  0.5069  -0.06
S  0.7533  0.2495  0.5067  -0.05
S  0.7534  0.2495  0.9960  -0.05

Entry 7:
Here is a relaxed Li2MgUS4 crystal from Alexandria via LeMat-Bulk. Energies are from PBE-GGA.

crystal system = monoclinic
formation energy without anion corrections = -1.38 eV/atom
symmetry = No. 10
E = -5.536 eV per atom

a b c (Å): 3.8285 6.5145 6.5295
angles (deg): 109.18 90.00 90.00
Each line ends with the local moment (μB).
Atoms (fractional coordinates):
Li  0.5000  0.0000  0.5000  0.00
Li  0.0000  0.5000  0.5000  0.00
Mg  0.0000  0.0000  0.0000  0.00
U  0.5000  0.5000  0.0000  2.04
S  0.5000  0.2423  0.2403  -0.04
S  0.5000  0.7577  0.7597  -0.04
S  0.0000  0.2464  0.7469  -0.05
S  0.0000  0.7536  0.2531  -0.05

Entry 8:
Here is a relaxed LiY2MgS4 crystal from Alexandria via LeMat-Bulk. Energies are from PBE-GGA.

crystal system = monoclinic
formation energy without anion corrections = -1.75 eV/atom
symmetry = No. 10
E = -5.867 eV per atom

a b c (Å): 3.8345 6.6271 6.6214
angles (deg): 70.87 90.00 90.00
Atoms (fractional coordinates):
Li  0.5000  0.5000  0.0000
Y  0.0000  0.0000  0.0000
Y  0.5000  0.0000  0.5000
Mg  0.0000  0.5000  0.5000
S  0.0000  0.7382  0.7495
S  0.0000  0.2618  0.2505
S  0.5000  0.7336  0.2566
S  0.5000  0.2664  0.7434

Entry 9:
Here is a relaxed LiMg2ZrS4 crystal from Alexandria via LeMat-Bulk. Energies are from PBE-GGA.

crystal system = monoclinic
formation energy without anion corrections = -1.42 eV/atom
symmetry = No. 10
E = -5.188 eV per atom

a b c (Å): 3.6176 6.4417 6.4386
angles (deg): 107.83 90.00 90.00
Atoms (fractional coordinates):
Li  0.5000  0.5000  0.0000
Mg  0.5000  0.0000  0.5000
Mg  0.0000  0.5000  0.5000
Zr  0.0000  0.0000  0.0000
S  0.5000  0.2557  0.2539
S  0.5000  0.7443  0.7461
S  0.0000  0.2423  0.7447
S  0.0000  0.7577  0.2553

Entry 10:
Here is a relaxed Li4MgZr3S8 crystal from Alexandria via LeMat-Bulk. Energies are from PBE-GGA.

crystal system = trigonal
formation energy without anion corrections = -1.50 eV/atom
symmetry = No. 166
E = -5.743 eV per atom

a b c (Å): 7.3202 7.4843 7.3203
angles (deg): 119.28 120.00 90.00
Atoms (fractional coordinates):
Li  0.5000  0.0000  0.0000
Li  0.5000  0.0000  0.5000
Li  0.0000  0.0000  0.0000
Li  0.0000  0.0000  0.5000
Mg  0.0000  0.5000  0.0000
Zr  0.5000  0.5000  0.0000
Zr  0.5000  0.5000  0.5000
Zr  0.0000  0.5000  0.5000
S  0.2481  0.7454  0.9973
S  0.2481  0.7454  0.4963
S  0.2499  0.2497  0.4998
S  0.7492  0.7454  0.9973
S  0.2508  0.2546  0.0027
S  0.7501  0.7503  0.5002
S  0.7519  0.2546  0.5037
S  0.7519  0.2546  0.0027

Entry 11:
Here is a relaxed LiMg2Sb crystal from Alexandria via LeMat-Bulk. Energies are from PBE-GGA.

crystal system = cubic
formation energy without anion corrections = -0.19 eV/atom
symmetry = No. 216
E = -2.499 eV per atom

a b c (Å): 5.0398 5.0398 5.0398
angles (deg): 60.00 60.00 60.00
Atoms (fractional coordinates):
Li  0.5000  0.5000  0.5000
Mg  0.0000  0.0000  0.0000
Mg  0.2500  0.2500  0.2500
Sb  0.7500  0.7500  0.7500

Entry 12:
Here is a relaxed Li3MgSb crystal from Alexandria via LeMat-Bulk. Energies are from PBE-GGA.

crystal system = cubic
formation energy without anion corrections = -0.12 eV/atom
symmetry = No. 221
offset from the most stable computed form = 0 kJ/mol of formula units
E = -2.414 eV per atom

a b c (Å): 5.2399 5.2399 5.2399
angles (deg): 90.00 90.00 90.00
Atoms (fractional coordinates):
Sb  0.0000  0.0000  0.0000
Mg  0.5000  0.5000  0.5000
Li  0.0000  0.5000  0.0000
Li  0.0000  0.0000  0.5000
Li  0.5000  0.0000  0.0000

Entry 13:
Here is a relaxed LiMgSb4 crystal from Alexandria via LeMat-Bulk. Energies are from PBE-GGA.

crystal system = cubic
formation energy without anion corrections = 0.08 eV/atom
symmetry = No. 216
E = -3.254 eV per atom

a b c (Å): 6.2693 6.2693 6.2693
angles (deg): 60.00 60.00 60.00
Atoms (fractional coordinates):
Li  0.7500  0.7500  0.7500
Mg  0.0000  0.0000  0.0000
Sb  0.8759  0.3747  0.3747
Sb  0.3747  0.3747  0.8759
Sb  0.3747  0.8759  0.3747
Sb  0.3747  0.3747  0.3747

Entry 14:
Here is a relaxed LiMgSb2 crystal from Alexandria via LeMat-Bulk. Energies are from PBE-GGA.

crystal system = trigonal
formation energy without anion corrections = -0.29 eV/atom
symmetry = No. 166
E = -3.232 eV per atom

a b c (Å): 8.9102 8.9102 8.9102
angles (deg): 22.84 22.84 22.84
Atoms (fractional coordinates):
Li  0.2500  0.2500  0.2500
Mg  0.7500  0.7500  0.7500
Sb  0.9994  0.9994  0.9994
Sb  0.5006  0.5006  0.5006

Entry 15:
Here is a relaxed LiMg2Sb crystal from Alexandria via LeMat-Bulk. Energies are from PBE-GGA.

crystal system = orthorhombic
formation energy without anion corrections = -0.15 eV/atom
symmetry = No. 65
E = -2.453 eV per atom

a b c (Å): 5.4311 5.4311 3.3140
angles (deg): 90.00 90.00 112.58
Atoms (fractional coordinates):
Li  0.0000  0.5000  0.5000
Mg  0.0000  0.0000  0.0000
Mg  0.5000  0.5000  0.0000
Sb  0.5000  0.0000  0.5000

Entry 16:
Here is a relaxed LiMgSb2 crystal from Alexandria via LeMat-Bulk. Energies are from PBE-GGA.

crystal system = orthorhombic
formation energy without anion corrections = -0.27 eV/atom
symmetry = No. 71
E = -3.208 eV per atom

a b c (Å): 5.3503 5.3503 5.3503
angles (deg): 130.22 124.72 77.57
Atoms (fractional coordinates):
Li  0.7500  0.2500  0.5000
Mg  0.2500  0.7500  0.5000
Sb  0.9985  0.9985  0.0000
Sb  0.5015  0.5015  0.0000

Entry 17:
Here is a relaxed LiMg6Sb crystal from Alexandria via LeMat-Bulk. Energies are from PBE-GGA.

crystal system = orthorhombic
formation energy without anion corrections = -0.10 eV/atom
symmetry = No. 38
offset from the most stable computed form = 5 kJ/mol of formula units
E = -2.051 eV per atom

a b c (Å): 6.5005 6.5005 5.0274
angles (deg): 90.00 90.00 122.05
Atoms (fractional coordinates):
Li  0.8315  0.1685  0.0000
Mg  0.8312  0.6664  0.0000
Mg  0.3336  0.1688  0.0000
Mg  0.6773  0.8397  0.5000
Mg  0.1603  0.3227  0.5000
Mg  0.6700  0.3300  0.5000
Mg  0.1617  0.8383  0.5000
Sb  0.3344  0.6656  0.0000

Entry 18:
Here is a relaxed LiMgSb2 crystal from Alexandria via LeMat-Bulk. Energies are from PBE-GGA.

crystal system = tetragonal
formation energy without anion corrections = -0.14 eV/atom
symmetry = No. 122
E = -3.078 eV per atom

a b c (Å): 7.9397 7.9397 6.4353
angles (deg): 51.91 51.91 90.00
Atoms (fractional coordinates):
Sb  0.6263  0.1250  0.2500
Sb  0.1237  0.6250  0.2500
Sb  0.3750  0.3737  0.7500
Sb  0.8750  0.8763  0.7500
Mg  0.0000  0.0000  0.0000
Mg  0.7500  0.2500  0.5000
Li  0.5000  0.5000  0.0000
Li  0.2500  0.7500  0.5000

Entry 19:
Here is a relaxed LiMgSb2 crystal from Alexandria via LeMat-Bulk. Energies are from PBE-GGA.

crystal system = tetragonal
formation energy without anion corrections = -0.16 eV/atom
symmetry = No. 99
E = -3.102 eV per atom

a b c (Å): 3.4872 3.4872 8.2960
angles (deg): 90.00 90.00 89.98
Atoms (fractional coordinates):
Li  0.0000  0.0000  0.5188
Mg  0.5000  0.5000  0.7101
Sb  0.0000  0.0000  0.9210
Sb  0.5000  0.5000  0.3501

Entry 20:
Here is a relaxed LiMg2Sb crystal from Alexandria via LeMat-Bulk. Energies are from PBE-GGA.

crystal system = trigonal
formation energy without anion corrections = -0.05 eV/atom
symmetry = No. 166
E = -2.359 eV per atom

a b c (Å): 9.9519 9.9519 9.9519
angles (deg): 19.32 19.32 19.32
Atoms (fractional coordinates):
Li  0.7500  0.7500  0.7500
Mg  0.0010  0.0010  0.0010
Mg  0.4990  0.4990  0.4990
Sb  0.2500  0.2500  0.2500